# 1
## KAgBr3 (PBE-GGA)

Data for an optimized crystal structure of KAgBr3.

Output
As for the space-group type: P1. The calculation puts the raw formation energy at -0.819 eV per atom.

a b c (Å): 7.687 8.632 5.963
angles (deg): 107.53 108.71 77.42
Fractional coordinates of all 10 atoms:
K 0.308 0.777 0.475
K 0.911 0.302 0.994
Ag 0.609 0.988 0.218
Ag 0.942 0.785 0.828
Br 0.385 0.416 0.011
Br 0.646 0.323 0.374
Br 0.864 0.710 0.203
Br 0.644 0.001 0.725
Br 0.136 0.496 0.644
Br 0.234 0.974 0.031

***

# 2
## KAg2Br8 (PBE-GGA)

Data for an optimized crystal structure of KAg2Br8.

Output
As for the space-group type: I422. The calculation puts the raw formation energy at -0.301 eV per atom.

a b c (Å): 7.779 7.779 8.497
angles (deg): 117.24 117.24 90.00
Fractional coordinates of all 11 atoms:
K 0.500 0.500 0.000
Ag 0.750 0.250 0.500
Ag 0.250 0.750 0.500
Br 0.802 0.270 0.240
Br 0.030 0.562 0.760
Br 0.730 0.198 0.760
Br 0.198 0.030 0.760
Br 0.438 0.970 0.240
Br 0.970 0.802 0.240
Br 0.270 0.438 0.240
Br 0.562 0.730 0.760

***

# 3
## KAg2Br (PBE-GGA)

Data for an optimized crystal structure of KAg2Br.

Output
As for the space-group type: Cmmm. The calculation puts the raw formation energy at -0.039 eV per atom.

a b c (Å): 7.108 7.108 3.058
angles (deg): 90.00 90.00 131.57
Fractional coordinates of all 4 atoms:
Ag 0.000 0.000 0.000
Ag 0.500 0.500 0.000
Br 0.500 0.000 0.500
K 0.000 0.500 0.500

***

# 4
## KAg2Br (PBE-GGA)

Data for an optimized crystal structure of KAg2Br.

Output
As for the space-group type: C2/m. The calculation puts the raw formation energy at -0.358 eV per atom.

a b c (Å): 7.297 7.297 4.469
angles (deg): 108.12 108.12 31.40
Fractional coordinates of all 4 atoms:
Ag 0.978 0.978 0.977
Ag 0.522 0.522 0.523
Br 0.750 0.750 0.750
K 0.250 0.250 0.250

***

# 5
## KAgBr (PBE-GGA)

Data for an optimized crystal structure of KAgBr.

Output
As for the space-group type: F-43m. The calculation puts the raw formation energy at -0.437 eV per atom.

a b c (Å): 5.356 5.356 5.356
angles (deg): 60.00 60.00 60.00
Fractional coordinates of all 3 atoms:
Ag 0.500 0.500 0.500
Br 0.750 0.750 0.750
K 0.000 0.000 0.000

***

# 6
## KAgBr3 (PBE-GGA)

Data for an optimized crystal structure of KAgBr3.

Output
As for the space-group type: P2/m. The calculation puts the raw formation energy at -0.812 eV per atom.

a b c (Å): 4.212 8.349 4.211
angles (deg): 90.00 90.00 89.95
Fractional coordinates of all 5 atoms:
K 0.956 0.272 0.750
Ag 0.456 0.772 0.250
Br 0.456 0.079 0.250
Br 0.455 0.464 0.250
Br 0.956 0.772 0.750

***

# 7
## KAg2Br (PBE-GGA)

Data for an optimized crystal structure of KAg2Br.

Output
As for the space-group type: I-4m2. The calculation puts the raw formation energy at -0.122 eV per atom.

a b c (Å): 5.344 5.344 5.344
angles (deg): 120.09 120.09 89.84
Fractional coordinates of all 4 atoms:
Ag 0.000 0.000 0.000
Ag 0.250 0.750 0.500
Br 0.500 0.500 0.000
K 0.750 0.250 0.500

***

# 8
## K2Ag3Br8 (PBE-GGA)

Data for an optimized crystal structure of K2Ag3Br8.

Output
As for the space-group type: C2/m. The calculation puts the raw formation energy at -0.682 eV per atom.

a b c (Å): 8.923 7.700 7.916
angles (deg): 119.10 102.79 90.00
Fractional coordinates of all 13 atoms:
K 0.332 0.289 0.579
K 0.668 0.711 0.421
Ag 0.500 0.000 0.000
Ag 0.000 0.248 0.000
Ag 0.000 0.752 0.000
Br 0.001 0.631 0.262
Br 0.999 0.369 0.738
Br 0.974 0.128 0.255
Br 0.026 0.872 0.745
Br 0.615 0.672 0.818
Br 0.615 0.147 0.818
Br 0.385 0.853 0.182
Br 0.385 0.328 0.182

***

# 9
## KAgBr3 (PBE-GGA)

Data for an optimized crystal structure of KAgBr3.

Output
As for the space-group type: Amm2. The calculation puts the raw formation energy at -0.683 eV per atom.

a b c (Å): 4.072 8.981 8.981
angles (deg): 135.47 90.00 90.00
Fractional coordinates of all 5 atoms:
K 0.500 0.106 0.894
Br 0.500 0.178 0.310
Br 0.500 0.690 0.822
Br 0.000 0.243 0.757
Ag 0.000 0.412 0.588

***

# 10
## KAgBr3 (PBE-GGA)

Data for an optimized crystal structure of KAgBr3.

Output
As for the space-group type: Cmcm. The calculation puts the raw formation energy at -0.717 eV per atom.

a b c (Å): 8.707 8.707 8.339
angles (deg): 90.00 90.00 140.89
Fractional coordinates of all 10 atoms:
K 0.413 0.587 0.250
K 0.587 0.413 0.750
Br 0.498 0.021 0.250
Br 0.979 0.502 0.250
Br 0.021 0.498 0.750
Br 0.502 0.979 0.750
Br 0.000 0.000 0.000
Br 0.000 0.000 0.500
Ag 0.105 0.895 0.250
Ag 0.895 0.105 0.750

***

# 11
## KAg2Br6 (PBE-GGA)

Data for an optimized crystal structure of KAg2Br6.

Output
As for the space-group type: P-31m. The calculation puts the raw formation energy at -0.434 eV per atom.

a b c (Å): 7.060 7.060 7.148
angles (deg): 90.00 90.00 120.00
Fractional coordinates of all 9 atoms:
K 0.000 0.000 0.000
Ag 0.333 0.667 0.500
Ag 0.667 0.333 0.500
Br 0.600 0.000 0.269
Br 0.400 0.400 0.269
Br 0.000 0.600 0.269
Br 0.600 0.600 0.731
Br 0.000 0.400 0.731
Br 0.400 0.000 0.731

***

# 12
## K2Ag2Br (PBE-GGA)

Data for an optimized crystal structure of K2Ag2Br.

Output
As for the space-group type: I4/mmm. The calculation puts the raw formation energy at -0.277 eV per atom.

a b c (Å): 6.538 6.538 6.290
angles (deg): 58.68 58.68 90.00
Fractional coordinates of all 5 atoms:
K 0.750 0.250 0.500
K 0.250 0.750 0.500
Br 0.000 0.000 0.000
Ag 0.344 0.344 0.313
Ag 0.656 0.656 0.687

***

# 13
## KAgBr3 (PBE-GGA)

Data for an optimized crystal structure of KAgBr3.

Output
As for the space-group type: I-4m2. The calculation puts the raw formation energy at -0.608 eV per atom.

a b c (Å): 5.628 5.628 13.129
angles (deg): 77.62 77.62 90.00
Fractional coordinates of all 10 atoms:
K 0.000 0.000 0.000
K 0.250 0.750 0.500
Br 0.635 0.886 0.228
Br 0.114 0.365 0.772
Br 0.114 0.863 0.772
Br 0.137 0.886 0.228
Br 0.296 0.296 0.408
Br 0.704 0.704 0.592
Ag 0.693 0.193 0.615
Ag 0.807 0.307 0.385

***

Record-wise DOS at the Fermi energy values, in states/eV/f.u.: 0.0, 13.4, 0.6, 0.6, 1.5, 2.0, 0.3, 8.2, 5.1, 0.5, 15.6, 1.5, 0.7